Record 1
LiLa2Zn: relaxed, PBE.

Calculated values
The formation energy is -0.1159 eV per atom. Its calculated total energy is -3.38 eV per atom.

Unit cell a=7.472 b=7.480 c=3.918 alpha=90.00 beta=90.00 gamma=90.00
Space group Cmmm (No. 65)
Inequivalent atoms, fractional coordinates:
Li 0.000 0.000 0.000
La 0.250 0.250 0.500
Zn 0.000 0.500 0.000

***

Record 2
GaGe: relaxed, PBE.

Calculated values
As for the offset from the most stable computed form: 0.00 eV/f.u. The formation energy is 0.1476 eV per atom. Its calculated total energy is -3.67 eV per atom.

Unit cell a=6.570 b=6.570 c=4.474 alpha=90.00 beta=90.00 gamma=90.00
Space group P4_2/mnm (No. 136)
Inequivalent atoms, fractional coordinates:
Ga 0.237 0.237 0.000
Ge 0.147 0.853 0.000

***

Record 3
NiPtW: relaxed, PBE.

Calculated values
As for the offset from the most stable computed form: 0.30 eV/f.u. The formation energy is -0.1409 eV per atom. Its calculated total energy is -8.40 eV per atom.

Unit cell a=4.2932 b=4.2932 c=2.6609 alpha=90.00 beta=90.00 gamma=120.00
Space group P-6m2 (No. 187)
Inequivalent atoms, fractional coordinates:
Ni 0.0000 0.0000 0.0000
Pt 0.6667 0.3333 0.0000
W 0.3333 0.6667 0.5000

***

Record 4
Ti5O: relaxed, PBE.

Calculated values
As for the offset from the most stable computed form: 2.29 eV/f.u. Its calculated total energy is -7.96 eV per atom. The uncorrected formation energy comes out at -0.554 eV per atom.

Unit cell a=4.759 b=13.797 c=2.786 alpha=90.00 beta=90.00 gamma=90.00
Space group Cmmm (No. 65)
Inequivalent atoms, fractional coordinates:
Ti 0.000 0.000 0.000
Ti 0.000 0.204 0.500
Ti 0.000 0.388 0.000
O 0.000 0.500 0.500

***

Record 5
NaPmAu2: relaxed, PBE.

Calculated values
The formation energy is -0.4501 eV per atom. Its calculated total energy is -3.61 eV per atom.

Unit cell a=4.1769 b=4.1769 c=21.8316 alpha=90.00 beta=90.00 gamma=120.00
Space group R-3m (No. 166, hexagonal axes)
Inequivalent atoms, fractional coordinates:
Na 0.0000 0.0000 0.0000
Pm 0.0000 0.0000 0.5000
Au 0.0000 0.0000 0.2476

***

Record 6
CsNaCu2Cl5: relaxed, PBE.

Calculated values
Its calculated total energy is -3.29 eV per atom. The uncorrected formation energy comes out at -1.111 eV per atom.

Unit cell a=4.759 b=4.759 c=9.505 alpha=90.00 beta=90.00 gamma=90.00
Space group P4/mmm (No. 123)
Inequivalent atoms, fractional coordinates:
Cs 0.000 0.000 0.000
Na 0.000 0.000 0.500
Cu 0.500 0.500 0.266
Cl 0.000 0.500 0.307
Cl 0.500 0.500 0.000

***

Record 7
NiSb2TeI: relaxed, PBE.

Calculated values
As for the offset from the most stable computed form: 0.00 eV/f.u. Its calculated total energy is -3.44 eV per atom. The uncorrected formation energy comes out at 0.302 eV per atom.

Unit cell a=5.144 b=5.144 c=5.072 alpha=90.00 beta=90.00 gamma=90.00
Space group P4/mmm (No. 123)
Inequivalent atoms, fractional coordinates:
Ni 0.000 0.000 0.000
Sb 0.000 0.500 0.000
Te 0.500 0.500 0.500
I 0.000 0.000 0.500

***

Record 8
LiMgTa2: relaxed, PBE.

Calculated values
The formation energy is 0.3338 eV per atom. Its calculated total energy is -6.47 eV per atom.

Unit cell a=2.817 b=5.153 c=5.078 alpha=90.00 beta=99.71 gamma=90.00
Space group P2/m (No. 10)
Inequivalent atoms, fractional coordinates:
Li 0.000 0.000 0.000
Mg 0.500 0.000 0.500
Ta 0.229 0.500 0.756